No. 1
Entry from the Alexandria database: a relaxed structure of Ta2Nb5W4 (PBE).

Calculated values
- Formation energy: 0.33 eV/atom
- Offset from the most stable computed form: 0.00 eV/f.u.
- Raw total energy: -0.4085 hartree per atom
- Symmetry: C2/m

The structure in POSCAR format:
```
Ta2Nb5W4
1.0
-1.272 -4.298 -0.995
-1.354 -1.042 6.233
-6.461 3.719 2.784
Ta Nb W
2 5 4
Direct
0.341 0.899 0.682
0.659 0.101 0.318
0.165 0.832 0.331
0.835 0.168 0.669
0.163 0.343 0.327
0.500 0.000 0.000
0.837 0.657 0.673
0.664 0.584 0.328
0.998 0.748 0.996
0.336 0.416 0.672
0.002 0.252 0.004
```

=====

No. 2
Entry from the Alexandria database: a relaxed structure of Ta12NbW7 (PBE).

Calculated values
- Formation energy: 0.37 eV/atom
- Raw total energy: -0.4330 hartree per atom
- Symmetry: R-3

The structure in POSCAR format:
```
Ta12NbW7
1.0
-2.660 -6.188 -2.520
6.145 -3.584 1.051
-1.954 -2.329 6.517
Ta Nb W
12 1 7
Direct
0.874 0.273 0.743
0.727 0.257 0.126
0.622 0.145 0.506
0.855 0.494 0.378
0.257 0.126 0.727
0.494 0.378 0.855
0.506 0.622 0.145
0.743 0.874 0.273
0.145 0.506 0.622
0.378 0.855 0.494
0.273 0.743 0.874
0.126 0.727 0.257
0.000 0.000 0.000
0.869 0.630 0.952
0.370 0.048 0.131
0.048 0.131 0.370
0.500 0.500 0.500
0.952 0.869 0.630
0.630 0.952 0.869
0.131 0.370 0.048
```

=====

No. 3
Entry from the Alexandria database: a relaxed structure of TaNbW (PBE).

Calculated values
- Formation energy: -0.06 eV/atom
- Offset from the most stable computed form: 0.01 eV/f.u.
- Raw total energy: -0.4293 hartree per atom
- Symmetry: Cmcm

The structure in POSCAR format:
```
TaNbW
1.0
4.597 0.000 0.000
0.000 4.556 0.561
-2.298 -0.607 4.925
Nb W Ta
2 2 2
Direct
0.589 0.250 0.177
0.411 0.750 0.823
0.249 0.250 0.499
0.751 0.750 0.501
0.911 0.250 0.823
0.089 0.750 0.177
```

=====

No. 4
Entry from the Alexandria database: a relaxed structure of Ta6NbW2 (PBE).

Calculated values
- Formation energy: -0.05 eV/atom
- Offset from the most stable computed form: 0.00 eV/f.u.
- Raw total energy: -0.4390 hartree per atom
- Symmetry: C2/m

The structure in POSCAR format:
```
Ta6NbW2
1.0
3.228 0.000 0.512
1.428 5.057 1.427
0.102 -0.082 9.776
Ta Nb W
6 1 2
Direct
0.670 0.545 0.114
0.330 0.455 0.886
0.331 0.776 0.563
0.993 0.682 0.332
0.007 0.318 0.668
0.669 0.224 0.437
0.000 0.000 0.000
0.332 0.114 0.221
0.668 0.886 0.779
```

=====

No. 5
Entry from the Alexandria database: a relaxed structure of TaNb3W2 (PBE).

Calculated values
- Formation energy: 0.28 eV/atom
- Offset from the most stable computed form: 0.84 eV/f.u.
- Raw total energy: -0.4059 hartree per atom
- Symmetry: C2/m

The structure in POSCAR format:
```
TaNb3W2
1.0
-4.255 1.451 1.149
-0.904 -7.643 -3.064
2.409 1.637 6.852
Ta Nb W
2 6 4
Direct
0.862 0.724 0.930
0.138 0.276 0.070
0.307 0.615 0.566
0.946 0.891 0.613
0.618 0.235 0.686
0.382 0.765 0.314
0.054 0.109 0.387
0.693 0.385 0.434
0.523 0.047 0.868
0.477 0.953 0.132
0.759 0.518 0.171
0.241 0.482 0.829
```

=====

No. 6
Entry from the Alexandria database: a relaxed structure of TaNbW5 (PBE).

Calculated values
- Formation energy: 0.38 eV/atom
- Raw total energy: -0.4410 hartree per atom
- Symmetry: C2/m

The structure in POSCAR format:
```
TaNbW5
1.0
5.211 -0.417 -0.454
-2.090 4.792 -0.454
-0.528 -0.740 5.419
Ta Nb W
1 1 5
Direct
0.500 0.500 0.500
0.000 0.000 0.000
0.499 0.987 0.247
0.987 0.499 0.247
0.000 0.000 0.500
0.013 0.501 0.753
0.501 0.013 0.753
```

=====

No. 7
Entry from the Alexandria database: a relaxed structure of TaNb2W6 (PBE).

Calculated values
- Formation energy: 0.71 eV/atom
- Offset from the most stable computed form: 3.46 eV/f.u.
- Raw total energy: -0.4218 hartree per atom
- Symmetry: C2/m

The structure in POSCAR format:
```
TaNb2W6
1.0
4.586 -0.275 -0.967
-0.170 4.898 -2.198
-0.791 0.358 7.424
Ta Nb W
1 2 6
Direct
0.000 0.000 0.000
0.892 0.392 0.783
0.108 0.608 0.217
0.697 0.942 0.394
0.303 0.058 0.606
0.303 0.548 0.606
0.500 0.257 0.000
0.500 0.743 0.000
0.697 0.452 0.394
```

=====

No. 8
Entry from the Alexandria database: a relaxed structure of TaNb2W3 (PBE).

Calculated values
- Formation energy: -0.07 eV/atom
- Raw total energy: -0.4364 hartree per atom
- Symmetry: P4/mmm

The structure in POSCAR format:
```
TaNb2W3
1.0
3.245 0.000 0.000
0.000 3.245 0.000
0.000 0.000 9.707
Ta Nb W
1 2 3
Direct
0.500 0.500 0.500
0.500 0.500 0.833
0.500 0.500 0.167
0.000 0.000 0.000
0.000 0.000 0.667
0.000 0.000 0.333
```

=====

No. 9
Entry from the Alexandria database: a relaxed structure of Ta2NbW (PBE).

Calculated values
- Formation energy: 0.75 eV/atom
- Raw total energy: -0.4016 hartree per atom
- Symmetry: I-42d

The structure in POSCAR format:
```
Ta2NbW
1.0
7.390 0.000 0.000
0.000 7.390 0.000
3.695 3.695 2.799
Nb W Ta
2 2 4
Direct
0.500 0.500 0.000
0.250 0.750 0.500
0.000 0.000 0.000
0.750 0.250 0.500
0.637 0.125 0.250
0.113 0.625 0.250
0.375 0.363 0.750
0.875 0.887 0.750
```

=====

No. 10
Entry from the Alexandria database: a relaxed structure of Ta2NbW2 (PBE).

Calculated values
- Formation energy: 0.32 eV/atom
- Offset from the most stable computed form: 0.60 eV/f.u.
- Raw total energy: -0.4269 hartree per atom
- Symmetry: Cmmm

The structure in POSCAR format:
```
Ta2NbW2
1.0
-2.091 2.372 0.595
-2.056 -1.246 -2.260
-4.750 -5.417 4.899
Ta Nb W
2 1 2
Direct
0.000 0.183 0.634
0.000 0.817 0.366
0.000 0.000 0.000
0.500 0.403 0.193
0.500 0.597 0.807
```

=====

No. 11
Entry from the Alexandria database: a relaxed structure of TaNb2W2 (PBE).

Calculated values
- Formation energy: 0.27 eV/atom
- Offset from the most stable computed form: 1.62 eV/f.u.
- Raw total energy: -0.4157 hartree per atom
- Symmetry: C2/m

The structure in POSCAR format:
```
TaNb2W2
1.0
-1.568 4.123 -0.925
-3.171 2.532 5.681
3.417 4.739 4.350
Ta Nb W
2 4 4
Direct
0.373 0.083 0.170
0.627 0.917 0.830
0.724 0.183 0.370
0.276 0.817 0.630
0.175 0.563 0.087
0.825 0.437 0.913
0.088 0.268 0.556
0.912 0.732 0.444
0.455 0.370 0.720
0.545 0.630 0.280
```

=====

No. 12
Entry from the Alexandria database: a relaxed structure of TaNb2W2 (PBE).

Calculated values
- Formation energy: -0.06 eV/atom
- Offset from the most stable computed form: 0.00 eV/f.u.
- Raw total energy: -0.4277 hartree per atom
- Symmetry: P2_1/m

The structure in POSCAR format:
```
TaNb2W2
1.0
0.173 2.436 -2.153
-0.307 -3.037 -3.460
-11.531 -0.270 1.260
Ta Nb W
2 4 4
Direct
0.852 0.750 0.704
0.148 0.250 0.296
0.050 0.750 0.099
0.950 0.250 0.901
0.248 0.750 0.495
0.752 0.250 0.505
0.649 0.750 0.298
0.351 0.250 0.702
0.451 0.750 0.901
0.549 0.250 0.099
```

=====

No. 13
Entry from the Alexandria database: a relaxed structure of Ta5Nb4W2 (PBE).

Calculated values
- Formation energy: 0.06 eV/atom
- Offset from the most stable computed form: 0.00 eV/f.u.
- Raw total energy: -0.4169 hartree per atom
- Symmetry: P-1

The structure in POSCAR format:
```
Ta5Nb4W2
1.0
-0.977 -1.168 -2.346
4.285 -5.894 -0.650
-5.439 -3.325 8.423
Ta Nb W
5 4 2
Direct
0.449 0.542 0.640
0.551 0.458 0.360
0.866 0.910 0.730
0.500 0.000 0.000
0.134 0.090 0.270
0.162 0.181 0.544
0.973 0.635 0.915
0.838 0.819 0.456
0.027 0.365 0.085
0.389 0.269 0.822
0.611 0.731 0.178
```

=====

No. 14
Entry from the Alexandria database: a relaxed structure of Ta3Nb3W4 (PBE).

Calculated values
- Formation energy: 0.47 eV/atom
- Raw total energy: -0.4148 hartree per atom
- Symmetry: Amm2

The structure in POSCAR format:
```
Ta3Nb3W4
1.0
-1.048 -1.687 -2.608
6.655 0.980 -3.310
2.800 -6.298 2.948
Ta Nb W
3 3 4
Direct
0.500 0.850 0.150
0.500 0.290 0.355
0.500 0.645 0.710
0.000 0.503 0.019
0.000 0.981 0.497
0.500 0.179 0.821
0.000 0.638 0.362
0.000 0.383 0.617
0.000 0.879 0.849
0.000 0.151 0.121
```

=====

No. 15
Entry from the Alexandria database: a relaxed structure of Ta7NbW2 (PBE).

Calculated values
- Formation energy: 0.31 eV/atom
- Raw total energy: -0.4259 hartree per atom
- Symmetry: P2/m

The structure in POSCAR format:
```
Ta7NbW2
1.0
2.719 0.000 0.000
0.000 9.818 -2.121
0.000 -1.585 7.221
Ta Nb W
7 1 2
Direct
0.000 0.603 0.210
0.000 0.397 0.790
0.500 0.196 0.397
0.500 0.804 0.603
0.500 0.301 0.092
0.500 0.699 0.908
0.500 0.500 0.500
0.000 0.000 0.000
0.500 0.897 0.298
0.500 0.103 0.702
```

=====

No. 16
Entry from the Alexandria database: a relaxed structure of Ta3Nb2W6 (PBE).

Calculated values
- Formation energy: 0.55 eV/atom
- Raw total energy: -0.4256 hartree per atom
- Symmetry: Cmmm

The structure in POSCAR format:
```
Ta3Nb2W6
1.0
2.671 0.000 0.000
0.000 8.952 1.465
0.000 2.439 8.737
Ta Nb W
3 2 6
Direct
0.000 0.228 0.228
0.000 0.772 0.772
0.500 0.000 0.000
0.000 0.267 0.733
0.000 0.733 0.267
0.500 0.404 0.404
0.500 0.596 0.596
0.500 0.917 0.412
0.500 0.083 0.588
0.500 0.412 0.917
0.500 0.588 0.083
```

=====

No. 17
Entry from the Alexandria database: a relaxed structure of Ta2Nb5W4 (PBE).

Calculated values
- Formation energy: 0.34 eV/atom
- Offset from the most stable computed form: 0.13 eV/f.u.
- Raw total energy: -0.4080 hartree per atom
- Symmetry: C2/m

The structure in POSCAR format:
```
Ta2Nb5W4
1.0
2.660 0.000 -0.437
-0.063 7.307 -0.386
0.291 0.266 10.093
Ta Nb W
2 5 4
Direct
0.909 0.277 0.819
0.091 0.723 0.181
0.770 0.187 0.540
0.230 0.813 0.460
0.862 0.904 0.725
0.500 0.000 0.000
0.138 0.096 0.275
0.319 0.539 0.639
0.047 0.363 0.094
0.681 0.461 0.361
0.953 0.637 0.906
```

=====

No. 18
Entry from the Alexandria database: a relaxed structure of TaNbW (PBE).

Calculated values
- Formation energy: -0.05 eV/atom
- Offset from the most stable computed form: 0.03 eV/f.u.
- Raw total energy: -0.4291 hartree per atom
- Symmetry: Fmm2

The structure in POSCAR format:
```
TaNbW
1.0
-6.381 -3.316 -1.100
-5.901 -3.515 1.699
-1.850 2.092 -0.555
Nb W Ta
1 1 1
Direct
0.997 0.997 0.003
0.333 0.333 0.667
0.670 0.670 0.330
```

=====

No. 19
Entry from the Alexandria database: a relaxed structure of Ta4NbW4 (PBE).

Calculated values
- Formation energy: -0.07 eV/atom
- Raw total energy: -0.4489 hartree per atom
- Symmetry: I4/mmm

The structure in POSCAR format:
```
Ta4NbW4
1.0
-1.064 -3.046 0.306
3.496 -3.459 -5.108
4.596 -2.869 4.574
Ta Nb W
4 1 4
Direct
0.167 0.167 0.000
0.833 0.833 0.000
0.833 0.500 0.333
0.167 0.500 0.667
0.500 0.500 0.000
0.500 0.162 0.338
0.500 0.838 0.662
0.162 0.838 0.338
0.838 0.162 0.662
```

=====

No. 20
Entry from the Alexandria database: a relaxed structure of Ta3Nb6W2 (PBE).

Calculated values
- Formation energy: 0.26 eV/atom
- Raw total energy: -0.3975 hartree per atom
- Symmetry: Immm

The structure in POSCAR format:
```
Ta3Nb6W2
1.0
2.652 0.000 -0.333
-0.076 4.791 -0.602
0.634 -0.443 15.766
Ta Nb W
3 6 2
Direct
0.000 0.000 0.000
0.818 0.818 0.636
0.182 0.182 0.364
0.591 0.091 0.182
0.133 0.633 0.266
0.409 0.909 0.818
0.867 0.367 0.734
0.725 0.725 0.449
0.275 0.275 0.551
0.457 0.457 0.914
0.543 0.543 0.086
```

=====

No. 21
Entry from the Alexandria database: a relaxed structure of Ta2NbW2 (PBE).

Calculated values
- Formation energy: 0.20 eV/atom
- Offset from the most stable computed form: 0.00 eV/f.u.
- Raw total energy: -0.4313 hartree per atom
- Symmetry: Cmc2_1

The structure in POSCAR format:
```
Ta2NbW2
1.0
-3.784 2.738 0.735
0.184 -1.178 5.341
5.992 4.015 0.679
Ta Nb W
4 2 4
Direct
0.995 0.732 0.990
0.804 0.393 0.608
0.196 0.893 0.392
0.005 0.232 0.010
0.400 0.056 0.800
0.600 0.556 0.200
0.392 0.555 0.785
0.804 0.899 0.608
0.196 0.399 0.392
0.608 0.055 0.215
```

=====

No. 22
Entry from the Alexandria database: a relaxed structure of Ta3Nb2W3 (PBE).

Calculated values
- Formation energy: 0.53 eV/atom
- Offset from the most stable computed form: 4.71 eV/f.u.
- Raw total energy: -0.4147 hartree per atom
- Symmetry: P-62m

The structure in POSCAR format:
```
Ta3Nb2W3
1.0
3.246 0.000 0.000
0.000 6.270 -3.620
0.000 0.000 7.239
Ta Nb W
3 2 3
Direct
0.500 0.357 0.357
0.500 0.643 0.000
0.500 0.000 0.643
0.000 0.333 0.667
0.000 0.667 0.333
0.000 0.779 0.779
0.000 0.221 0.000
0.000 0.000 0.221
```

=====

No. 23
Entry from the Alexandria database: a relaxed structure of Ta2NbW6 (PBE).

Calculated values
- Formation energy: 0.17 eV/atom
- Offset from the most stable computed form: 0.00 eV/f.u.
- Raw total energy: -0.4489 hartree per atom
- Symmetry: C2/m

The structure in POSCAR format:
```
Ta2NbW6
1.0
2.693 -0.414 0.116
-1.244 7.526 3.178
-2.483 0.771 7.844
Ta Nb W
2 1 6
Direct
0.652 0.332 0.332
0.348 0.668 0.668
0.000 0.000 0.000
0.979 0.660 0.005
0.021 0.995 0.340
0.021 0.340 0.995
0.500 0.671 0.329
0.979 0.005 0.660
0.500 0.329 0.671
```